No. 1
First-principles (PBE-GGA) data for a relaxed LaAg2Ru crystal, as listed in Alexandria via LeMat-Bulk.

Values from the calculation:
As for the space-group type: Pm, No. 6. As for the energy relative to the elements: 0.095 eV per atom.

```
LaAg2Ru
1.0
3.763 0.000 0.000
0.000 3.275 0.024
0.000 2.228 6.725
Ag La Ru
2 1 1
direct
0.000 0.960 0.997 Ag
0.500 0.317 0.201 Ag
0.000 0.557 0.540 La
0.500 0.666 0.763 Ru
```

No. 2
First-principles (PBE-GGA) data for a relaxed La8AgRu2 crystal, as listed in Alexandria via LeMat-Bulk.

Values from the calculation:
As for the space-group type: Cm, No. 8. As for the energy relative to the elements: -0.133 eV per atom.

```
La8AgRu2
1.0
0.156 5.931 0.869
-0.902 -0.048 -8.088
-6.662 -1.719 4.347
La Ag Ru
8 1 2
direct
0.568 0.343 0.090 La
0.568 0.090 0.343 La
0.194 0.394 0.394 La
0.000 0.241 0.768 La
0.000 0.768 0.241 La
0.806 0.611 0.611 La
0.432 0.916 0.664 La
0.432 0.664 0.916 La
0.002 0.002 0.002 Ag
0.498 0.718 0.285 Ru
0.498 0.285 0.718 Ru
```

No. 3
First-principles (PBE-GGA) data for a relaxed La2AgRu crystal, as listed in Alexandria via LeMat-Bulk.

Values from the calculation:
As for the space-group type: C2/m, No. 12. As for the energy relative to the elements: -0.206 eV per atom.

```
La2AgRu
1.0
-4.948 -1.553 -0.319
-1.141 -4.709 -1.929
1.160 -4.276 2.715
Ru Ag La
1 1 2
direct
0.250 0.500 0.750 Ru
0.750 0.500 0.250 Ag
0.999 0.000 0.001 La
0.501 0.000 0.499 La
```

No. 4
First-principles (PBE-GGA) data for a relaxed LaAg2Ru crystal, as listed in Alexandria via LeMat-Bulk.

Values from the calculation:
As for the space-group type: I-42d, No. 122. As for the energy relative to the elements: 0.191 eV per atom.

```
LaAg2Ru
1.0
3.949 0.000 0.000
0.000 3.949 0.000
1.974 1.974 10.965
Ru Ag La
2 4 2
direct
0.500 0.500 0.000 Ru
0.250 0.750 0.500 Ru
0.607 0.125 0.250 Ag
0.143 0.625 0.250 Ag
0.375 0.393 0.750 Ag
0.875 0.857 0.750 Ag
0.000 0.000 0.000 La
0.750 0.250 0.500 La
```

Copy entry 3 word for word.
First-principles (PBE-GGA) data for a relaxed La2AgRu crystal, as listed in Alexandria via LeMat-Bulk.

Values from the calculation:
As for the space-group type: C2/m, No. 12. As for the energy relative to the elements: -0.206 eV per atom.

```
La2AgRu
1.0
-4.948 -1.553 -0.319
-1.141 -4.709 -1.929
1.160 -4.276 2.715
Ru Ag La
1 1 2
direct
0.250 0.500 0.750 Ru
0.750 0.500 0.250 Ag
0.999 0.000 0.001 La
0.501 0.000 0.499 La
```

Q: energy relative to the elements of number 1 (LaAg2Ru)?
A: 0.095 eV per atom